Entry 1:
{
  "formula": "Co3Ni5",
  "functional": "PBE-GGA",
  "state": "relaxed",
  "lattice_angstrom": [[4.450, 0.000, 0.000], [2.225, 6.364, 0.003], [2.219, 0.003, 6.364]],
  "species": ["Ni", "Ni", "Ni", "Ni", "Ni", "Ni", "Ni", "Ni", "Ni", "Ni", "Co", "Co", "Co", "Co", "Co", "Co"],
  "fractional_positions": [[0.750, 0.500, 0.500], [0.250, 0.500, 0.501], [0.262, 0.172, 0.305], [0.239, 0.694, 0.828], [0.067, 0.173, 0.694], [0.566, 0.695, 0.173], [0.739, 0.827, 0.695], [0.433, 0.306, 0.828], [0.761, 0.305, 0.173], [0.933, 0.828, 0.306], [0.821, 0.500, 0.858], [0.178, 0.500, 0.144], [0.678, 0.143, 0.501], [0.250, 0.000, 0.000], [0.321, 0.857, 0.501], [0.750, 0.000, 0.000]],
  "magnetic_moment_mub_per_fu": 8.283,
  "energy_ev_per_atom": -6.10,
  "spacegroup": "Cc (9)"
}



Entry 2:
{
  "formula": "CoNi2",
  "functional": "PBE-GGA",
  "state": "relaxed",
  "lattice_angstrom": [[0.000, 3.249, 3.249], [3.249, 0.000, 3.249], [3.249, 3.249, 0.000]],
  "species": ["Ni", "Ni", "Ni", "Ni", "Co", "Co"],
  "fractional_positions": [[0.625, 0.125, 0.125], [0.125, 0.125, 0.625], [0.125, 0.125, 0.125], [0.125, 0.625, 0.125], [0.500, 0.500, 0.500], [0.750, 0.750, 0.750]],
  "magnetic_moment_mub_per_fu": 2.773,
  "energy_ev_per_atom": -5.99,
  "spacegroup": "Fd-3m (227)"
}



Entry 3:
{
  "formula": "CoNi3",
  "functional": "PBE-GGA",
  "state": "relaxed",
  "lattice_angstrom": [[-3.636, -1.663, -7.231], [-1.269, -1.756, -7.974], [-2.336, -3.763, -6.975]],
  "species": ["Ni", "Ni", "Ni", "Co"],
  "fractional_positions": [[0.749, 0.749, 0.749], [0.251, 0.251, 0.251], [0.500, 0.500, 0.500], [0.000, 0.000, 0.000]],
  "magnetic_moment_mub_per_fu": 3.516,
  "energy_ev_per_atom": -6.13,
  "spacegroup": "R-3m (166)"
}



Entry 4:
{
  "formula": "Co3Ni",
  "functional": "PBE-GGA",
  "state": "relaxed",
  "lattice_angstrom": [[-2.588, -1.899, 2.889], [3.490, -2.463, -0.634], [1.171, 1.189, 1.831]],
  "species": ["Co", "Co", "Co", "Ni"],
  "fractional_positions": [[0.000, 0.000, 0.000], [0.000, 0.500, 0.500], [0.500, 0.000, 0.500], [0.500, 0.500, 0.000]],
  "magnetic_moment_mub_per_fu": 5.556,
  "energy_ev_per_atom": -6.76,
  "spacegroup": "Cmmm (65)"
}



Entry 5:
{
  "formula": "CoNi5",
  "functional": "PBE-GGA",
  "state": "relaxed",
  "lattice_angstrom": [[2.475, 0.000, 0.000], [0.000, 2.475, 0.000], [0.000, 0.000, 10.632]],
  "species": ["Ni", "Ni", "Ni", "Ni", "Ni", "Co"],
  "fractional_positions": [[0.000, 0.000, 0.500], [0.500, 0.500, 0.666], [0.000, 0.000, 0.165], [0.000, 0.000, 0.835], [0.500, 0.500, 0.334], [0.500, 0.500, 0.000]],
  "magnetic_moment_mub_per_fu": 4.634,
  "energy_ev_per_atom": -6.01,
  "spacegroup": "P4/mmm (123)"
}



Entry 6:
{
  "formula": "Co2Ni3",
  "functional": "PBE-GGA",
  "state": "relaxed",
  "lattice_angstrom": [[-2.258, -1.020, -0.169], [-0.251, -2.471, 0.022], [-0.003, 1.339, 10.218]],
  "species": ["Ni", "Ni", "Ni", "Co", "Co"],
  "fractional_positions": [[0.000, 0.000, 0.000], [0.200, 0.200, 0.601], [0.800, 0.800, 0.399], [0.600, 0.600, 0.800], [0.400, 0.400, 0.200]],
  "magnetic_moment_mub_per_fu": 5.471,
  "energy_ev_per_atom": -6.31,
  "spacegroup": "R-3m (166)"
}



Entry 7:
{
  "formula": "Co2Ni",
  "functional": "PBE-GGA",
  "state": "relaxed",
  "lattice_angstrom": [[-0.293, -3.374, -1.026], [2.925, -0.807, 1.819], [-7.127, 0.032, 8.034]],
  "species": ["Co", "Co", "Co", "Co", "Co", "Co", "Co", "Co", "Ni", "Ni", "Ni", "Ni"],
  "fractional_positions": [[0.249, 0.249, 0.499], [0.499, 0.999, 0.999], [0.833, 0.333, 0.666], [0.417, 0.417, 0.834], [0.583, 0.583, 0.166], [0.667, 0.167, 0.334], [0.751, 0.751, 0.501], [0.001, 0.501, 0.001], [0.917, 0.917, 0.834], [0.167, 0.667, 0.334], [0.083, 0.083, 0.166], [0.333, 0.833, 0.666]],
  "magnetic_moment_mub_per_fu": 3.983,
  "energy_ev_per_atom": -6.67,
  "spacegroup": "I4_1/amd (141)"
}



Entry 8:
{
  "formula": "CoNi2",
  "functional": "PBE-GGA",
  "state": "relaxed",
  "lattice_angstrom": [[5.587, 0.004, 0.000], [4.485, 3.331, 0.000], [-5.036, -1.667, 1.753]],
  "species": ["Ni", "Ni", "Co"],
  "fractional_positions": [[0.665, 0.665, 0.000], [0.335, 0.335, 0.000], [0.000, 0.000, 0.000]],
  "magnetic_moment_mub_per_fu": 2.852,
  "energy_ev_per_atom": -6.23,
  "spacegroup": "I4/mmm (139)"
}



Entry 9:
{
  "formula": "Co3Ni",
  "functional": "PBE-GGA",
  "state": "relaxed",
  "lattice_angstrom": [[-0.046, -1.258, 3.767], [2.536, -2.818, 1.183], [2.997, 0.922, 2.438]],
  "species": ["Co", "Co", "Co", "Ni"],
  "fractional_positions": [[0.500, 0.500, 0.500], [0.000, 0.000, 0.000], [0.750, 0.750, 0.750], [0.250, 0.250, 0.250]],
  "magnetic_moment_mub_per_fu": 5.823,
  "energy_ev_per_atom": -6.66,
  "spacegroup": "Fm-3m (225)"
}



Entry 10:
{
  "formula": "CoNi3",
  "functional": "PBE-GGA",
  "state": "relaxed",
  "lattice_angstrom": [[4.972, 0.000, 0.000], [0.000, 4.063, 0.000], [0.000, 0.000, 4.319]],
  "species": ["Ni", "Ni", "Ni", "Ni", "Ni", "Ni", "Co", "Co"],
  "fractional_positions": [[0.750, 0.500, 0.834], [0.250, 0.000, 0.166], [0.250, 0.500, 0.834], [0.750, 0.000, 0.166], [0.500, 0.000, 0.663], [0.000, 0.500, 0.337], [0.500, 0.500, 0.334], [0.000, 0.000, 0.666]],
  "magnetic_moment_mub_per_fu": 3.763,
  "energy_ev_per_atom": -6.11,
  "spacegroup": "Pmmn (59)"
}



Entry 11:
{
  "formula": "Co4Ni",
  "functional": "PBE-GGA",
  "state": "relaxed",
  "lattice_angstrom": [[-2.046, -5.011, -1.228], [0.454, -1.491, 5.327], [-2.432, -2.658, 2.355]],
  "species": ["Co", "Co", "Co", "Co", "Ni"],
  "fractional_positions": [[0.598, 0.200, 0.000], [0.200, 0.402, 0.000], [0.402, 0.800, 0.000], [0.800, 0.598, 0.000], [0.000, 0.000, 0.000]],
  "magnetic_moment_mub_per_fu": 7.095,
  "energy_ev_per_atom": -6.83,
  "spacegroup": "I4/m (87)"
}



Entry 12:
{
  "formula": "CoNi2",
  "functional": "PBE-GGA",
  "state": "relaxed",
  "lattice_angstrom": [[-2.271, -1.003, 0.012], [1.195, 0.421, 4.601], [-2.287, 5.195, 1.684]],
  "species": ["Ni", "Ni", "Ni", "Ni", "Co", "Co"],
  "fractional_positions": [[0.056, 0.113, 0.390], [0.389, 0.778, 0.722], [0.333, 0.667, 0.333], [0.721, 0.443, 0.055], [0.666, 0.331, 0.669], [0.001, 0.001, 0.998]],
  "magnetic_moment_mub_per_fu": 2.941,
  "energy_ev_per_atom": -6.21,
  "spacegroup": "Cm (8)"
}



Entry 13:
{
  "formula": "CoNi2",
  "functional": "PBE-GGA",
  "state": "relaxed",
  "lattice_angstrom": [[4.329, 0.000, -0.016], [0.000, 2.476, 0.000], [-1.452, 0.000, 12.192]],
  "species": ["Co", "Co", "Co", "Co", "Ni", "Ni", "Ni", "Ni", "Ni", "Ni", "Ni", "Ni"],
  "fractional_positions": [[0.465, 0.500, 0.718], [0.576, 0.000, 0.554], [0.465, 0.000, 0.218], [0.576, 0.500, 0.054], [0.191, 0.000, 0.386], [0.078, 0.000, 0.053], [0.690, 0.500, 0.385], [0.690, 0.000, 0.885], [0.191, 0.500, 0.886], [0.078, 0.500, 0.553], [0.966, 0.000, 0.718], [0.966, 0.500, 0.218]],
  "magnetic_moment_mub_per_fu": 2.899,
  "energy_ev_per_atom": -6.21,
  "spacegroup": "Cm (8)"
}



Entry 14:
{
  "formula": "Co2Ni",
  "functional": "PBE-GGA",
  "state": "relaxed",
  "lattice_angstrom": [[-3.195, 2.518, -1.657], [-3.170, 1.830, 2.428], [4.363, -0.495, -0.110]],
  "species": ["Co", "Co", "Ni"],
  "fractional_positions": [[0.331, 0.331, 0.000], [0.669, 0.669, 0.000], [0.000, 0.000, 0.000]],
  "magnetic_moment_mub_per_fu": 4.067,
  "energy_ev_per_atom": -6.56,
  "spacegroup": "I4/mmm (139)"
}



Entry 15:
{
  "formula": "Co2Ni7",
  "functional": "PBE-GGA",
  "state": "relaxed",
  "lattice_angstrom": [[4.304, 0.000, 0.000], [-2.152, 3.727, 0.000], [0.000, 0.000, 6.094]],
  "species": ["Ni", "Ni", "Ni", "Ni", "Ni", "Ni", "Ni", "Co", "Co"],
  "fractional_positions": [[0.665, 0.665, 0.668], [0.000, 0.000, 0.000], [0.335, 0.000, 0.668], [0.335, 0.335, 0.332], [0.000, 0.335, 0.668], [0.665, 0.000, 0.332], [0.000, 0.665, 0.332], [0.333, 0.667, 0.000], [0.667, 0.333, 0.000]],
  "magnetic_moment_mub_per_fu": 7.523,
  "energy_ev_per_atom": -6.08,
  "spacegroup": "P-31m (162)"
}



Entry 16:
{
  "formula": "Co4Ni5",
  "functional": "PBE-GGA",
  "state": "relaxed",
  "lattice_angstrom": [[7.493, 0.000, 0.000], [0.000, 7.493, 0.000], [3.746, 3.746, 1.750]],
  "species": ["Ni", "Ni", "Ni", "Ni", "Ni", "Co", "Co", "Co", "Co"],
  "fractional_positions": [[0.000, 0.000, 0.000], [0.332, 0.668, 0.000], [0.668, 0.332, 0.000], [0.332, 0.332, 0.000], [0.668, 0.668, 0.000], [0.663, 0.000, 0.000], [0.000, 0.337, 0.000], [0.000, 0.663, 0.000], [0.337, 0.000, 0.000]],
  "magnetic_moment_mub_per_fu": 10.262,
  "energy_ev_per_atom": -6.38,
  "spacegroup": "I4/mmm (139)"
}



Entry 17:
{
  "formula": "Co4Ni",
  "functional": "PBE-GGA",
  "state": "relaxed",
  "lattice_angstrom": [[-1.583, -0.254, -3.890], [1.037, -4.075, -0.156], [-3.758, -1.018, 1.596]],
  "species": ["Co", "Co", "Co", "Co", "Ni"],
  "fractional_positions": [[0.500, 0.000, 0.500], [0.500, 0.500, 0.000], [0.000, 0.500, 0.500], [0.000, 0.000, 0.000], [0.500, 0.500, 0.500]],
  "magnetic_moment_mub_per_fu": 8.456,
  "energy_ev_per_atom": -5.54,
  "spacegroup": "Pm-3m (221)"
}



Entry 18:
{
  "formula": "CoNi5",
  "functional": "PBE-GGA",
  "state": "relaxed",
  "lattice_angstrom": [[-0.860, 1.828, 1.456], [-1.570, -1.284, -1.444], [-1.749, -8.011, 9.025]],
  "species": ["Ni", "Ni", "Ni", "Ni", "Ni", "Co"],
  "fractional_positions": [[0.667, 0.333, 0.835], [0.667, 0.333, 0.500], [0.000, 0.000, 0.667], [0.000, 0.000, 0.333], [0.667, 0.333, 0.165], [0.000, 0.000, 0.000]],
  "magnetic_moment_mub_per_fu": 5.081,
  "energy_ev_per_atom": -5.99,
  "spacegroup": "P-6m2 (187)"
}



Entry 19:
{
  "formula": "Co5Ni6",
  "functional": "PBE-GGA",
  "state": "relaxed",
  "lattice_angstrom": [[8.154, -0.825, -0.572], [0.961, 3.613, -2.031], [-0.080, -0.094, 4.251]],
  "species": ["Ni", "Ni", "Ni", "Ni", "Ni", "Ni", "Co", "Co", "Co", "Co", "Co"],
  "fractional_positions": [[0.247, 0.917, 0.333], [0.247, 0.584, 0.667], [0.753, 0.416, 0.333], [0.753, 0.750, 0.000], [0.753, 0.083, 0.667], [0.247, 0.250, 0.000], [0.500, 0.167, 0.334], [0.500, 0.500, 0.000], [0.500, 0.833, 0.666], [0.000, 0.333, 0.666], [0.000, 0.667, 0.334]],
  "magnetic_moment_mub_per_fu": 12.225,
  "energy_ev_per_atom": -6.24,
  "spacegroup": "C2/m (12)"
}



Entry 20:
{
  "formula": "Co5Ni7",
  "functional": "PBE-GGA",
  "state": "relaxed",
  "lattice_angstrom": [[-3.189, 0.231, -1.484], [-1.673, -3.556, 3.041], [-1.113, 6.970, 3.480]],
  "species": ["Ni", "Ni", "Ni", "Ni", "Ni", "Ni", "Ni", "Co", "Co", "Co", "Co", "Co"],
  "fractional_positions": [[0.500, 0.332, 0.664], [0.000, 0.835, 0.167], [0.000, 0.669, 0.833], [0.500, 0.668, 0.336], [0.000, 0.331, 0.167], [0.500, 0.500, 0.000], [0.000, 0.165, 0.833], [0.000, 0.000, 0.500], [0.500, 0.000, 0.000], [0.500, 0.167, 0.334], [0.500, 0.833, 0.666], [0.000, 0.500, 0.500]],
  "magnetic_moment_mub_per_fu": 13.272,
  "energy_ev_per_atom": -6.34,
  "spacegroup": "Cmmm (65)"
}



Entry 21:
{
  "formula": "Co5Ni",
  "functional": "PBE-GGA",
  "state": "relaxed",
  "lattice_angstrom": [[-1.154, -2.903, 4.570], [1.232, -0.528, -5.371], [3.437, -0.109, 0.799]],
  "species": ["Co", "Co", "Co", "Co", "Co", "Ni"],
  "fractional_positions": [[0.639, 0.361, 0.000], [0.139, 0.861, 0.500], [0.305, 0.695, 0.000], [0.472, 0.528, 0.500], [0.806, 0.194, 0.500], [0.972, 0.028, 0.000]],
  "magnetic_moment_mub_per_fu": 8.670,
  "energy_ev_per_atom": -6.88,
  "spacegroup": "Cmmm (65)"
}



Entry 22:
{
  "formula": "Co7Ni5",
  "functional": "PBE-GGA",
  "state": "relaxed",
  "lattice_angstrom": [[-2.090, -1.113, -0.715], [2.203, -6.037, 2.959], [-3.237, 1.961, 6.412]],
  "species": ["Ni", "Ni", "Ni", "Ni", "Ni", "Co", "Co", "Co", "Co", "Co", "Co", "Co"],
  "fractional_positions": [[0.500, 0.250, 0.333], [0.000, 0.999, 0.833], [0.000, 0.999, 0.167], [0.500, 0.250, 0.667], [0.000, 0.501, 0.500], [0.500, 0.749, 0.334], [0.500, 0.749, 0.666], [0.500, 0.254, 0.000], [0.000, 0.501, 0.165], [0.000, 0.998, 0.500], [0.500, 0.749, 0.000], [0.000, 0.501, 0.835]],
  "magnetic_moment_mub_per_fu": 14.303,
  "energy_ev_per_atom": -6.55,
  "spacegroup": "Pmm2 (25)"
}



Entry 23:
{
  "formula": "Co5Ni7",
  "functional": "PBE-GGA",
  "state": "relaxed",
  "lattice_angstrom": [[4.134, 0.000, 0.000], [-2.067, 3.857, -0.351], [0.000, -1.794, 8.468]],
  "species": ["Ni", "Ni", "Ni", "Ni", "Ni", "Ni", "Ni", "Co", "Co", "Co", "Co", "Co"],
  "fractional_positions": [[0.915, 0.831, 0.251], [0.582, 0.163, 0.251], [0.085, 0.169, 0.749], [0.667, 0.333, 0.001], [0.333, 0.667, 0.999], [0.418, 0.837, 0.749], [0.500, 0.000, 0.500], [0.249, 0.498, 0.249], [0.751, 0.502, 0.751], [0.168, 0.336, 0.496], [0.832, 0.664, 0.504], [0.000, 0.000, 0.000]],
  "magnetic_moment_mub_per_fu": 12.777,
  "energy_ev_per_atom": -6.24,
  "spacegroup": "C2/m (12)"
}



Entry 24:
{
  "formula": "Co2Ni",
  "functional": "PBE-GGA",
  "state": "relaxed",
  "lattice_angstrom": [[-3.445, -2.224, 2.406], [-1.710, -3.979, 1.961], [6.883, 6.488, 1.255]],
  "species": ["Ni", "Ni", "Co", "Co", "Co", "Co"],
  "fractional_positions": [[0.777, 0.777, 0.055], [0.446, 0.446, 0.391], [0.111, 0.111, 0.722], [0.998, 0.998, 0.998], [0.334, 0.334, 0.667], [0.667, 0.667, 0.333]],
  "magnetic_moment_mub_per_fu": 4.043,
  "energy_ev_per_atom": -6.66,
  "spacegroup": "Cm (8)"
}



Entry 25:
{
  "formula": "Co3Ni",
  "functional": "PBE-GGA",
  "state": "relaxed",
  "lattice_angstrom": [[-4.293, 0.214, -0.389], [-3.807, -0.012, 2.033], [9.013, 4.009, -1.434]],
  "species": ["Co", "Co", "Co", "Ni"],
  "fractional_positions": [[0.003, 0.003, 0.502], [0.997, 0.997, 0.998], [0.000, 0.000, 0.750], [0.000, 0.000, 0.250]],
  "magnetic_moment_mub_per_fu": 5.627,
  "energy_ev_per_atom": -6.77,
  "spacegroup": "C2/m (12)"
}